(P)
An optimized crystal structure of CsNaBr3, computed with PBE.

Lattice parameters (Å, degrees): 5.7472 5.7472 5.7472 90.00 90.00 90.00
Last column: nearest neighbours and their distance in Å.
Atoms (fractional coordinates):
Na  0.0000  0.0000  0.0000  6 Br 2.87
Br  0.0000  0.0000  0.5000  2 Na 2.87
Br  0.0000  0.5000  0.0000  2 Na 2.87
Cs  0.5000  0.5000  0.5000  12 Br 4.06
Br  0.5000  0.0000  0.0000  2 Na 2.87

Total moment = 1.00 μB per cell
SG = Pm-3m (221)

(Q)
An optimized crystal structure of CsNaBr3, computed with PBE.

Lattice parameters (Å, degrees): 6.6674 6.6674 6.6674 90.00 90.00 90.00
Last column: nearest neighbours and their distance in Å.
Atoms (fractional coordinates):
Br  0.0000  0.5000  0.0000  2 Cs 3.33
Br  0.5000  0.0000  0.0000  2 Cs 3.33
Cs  0.0000  0.0000  0.0000  6 Br 3.33
Na  0.5000  0.5000  0.5000  12 Br 4.71
Br  0.0000  0.0000  0.5000  2 Cs 3.33

Total moment = 1.00 μB per cell
SG = Pm-3m (221)

Stability ranking, top and bottom: (P) is the most stable and (Q) is the least stable.

(P)
An optimized crystal structure of CsNa3Br, computed with PBE.

Lattice parameters (Å, degrees): 7.3726 7.3726 7.3726 90.00 90.00 90.00
Last column: nearest neighbours and their distance in Å.
Atoms (fractional coordinates):
Na  0.0000  0.0000  0.5000  2 Cs 3.69
Na  0.5000  0.0000  0.0000  2 Cs 3.69
Br  0.5000  0.5000  0.5000  12 Na 5.21
Cs  0.0000  0.0000  0.0000  6 Na 3.69
Na  0.0000  0.5000  0.0000  2 Cs 3.69

Total moment = 0.98 μB per cell
SG = Pm-3m (221)

(Q)
An optimized crystal structure of CsNa3Br, computed with PBE.

Lattice parameters (Å, degrees): 6.2557 6.2557 6.2557 90.00 90.00 90.00
Last column: nearest neighbours and their distance in Å.
Atoms (fractional coordinates):
Cs  0.5000  0.5000  0.5000  12 Na 4.42
Na  0.0000  0.5000  0.0000  2 Br 3.13
Br  0.0000  0.0000  0.0000  6 Na 3.13
Na  0.5000  0.0000  0.0000  2 Br 3.13
Na  0.0000  0.0000  0.5000  2 Br 3.13

Total moment = 0.00 μB per cell
SG = Pm-3m (221)

Stability ranking, top and bottom: (Q) is the most stable and (P) is the least stable.